(1)
Crystalline KIrI6 at its relaxed geometry. Source: Alexandria, functional PBE.

```
8
Lattice="-5.1816 5.6288 2.4707 -3.7564 -3.4206 4.8359 1.3353 1.1656 6.6501" Properties=species:S:1:pos:R:3 pbc="T T T"
I -0.6183 -0.5362 7.2983
Ir 0.0000 0.0000 0.0000
I -3.2223 5.2918 6.9375
K -3.8014 1.6868 6.9784
I -4.1840 -0.6888 10.2139
I -6.9844 3.9099 6.6585
I -3.4187 4.0625 3.7429
I -4.3805 -1.9181 7.0193
```

Summary:
Its raw formation energy is -2.62 eV/f.u. As for the space-group type: No. 2.

***

(2)
Crystalline KIr2I at its relaxed geometry. Source: Alexandria, functional PBE.

```
8
Lattice="-6.0316 -5.2036 0.2171 1.2309 -1.1015 7.7960 -4.3293 -0.8907 4.6307" Properties=species:S:1:pos:R:3 pbc="T T T"
Ir -5.1283 -2.9599 5.9642
K -2.4004 -3.1526 4.0065
I 0.0000 0.0000 0.0000
Ir -0.6695 -1.2187 6.0430
K -2.7494 -2.5724 8.2166
Ir -5.0957 -3.9555 2.2822
I -6.3806 -4.6235 4.4272
Ir -7.3665 -6.2576 10.9982
```

Summary:
Its raw formation energy is 4.83 eV/f.u. As for the space-group type: No. 122.

***

(3)
Crystalline KIrIN2 at its relaxed geometry. Source: Alexandria, functional PBE.

```
5
Lattice="-2.3575 0.8326 -3.1705 2.8139 -1.4894 -2.4834 -2.5251 -5.4953 0.4345" Properties=species:S:1:pos:R:3 pbc="T T T"
K -1.0344 -3.0760 -2.6097
Ir 0.0000 0.0000 0.0000
I -1.2626 -2.7476 0.2172
N -1.1788 0.4163 -1.5853
N 1.4069 -0.7447 -1.2417
```

Summary:
Its distance to the lowest polymorph of the same formula is 0 meV/atom. Its raw formation energy is 3.71 eV/f.u. As for the space-group type: No. 123.

***

(4)
Crystalline KIrIN2 at its relaxed geometry. Source: Alexandria, functional PBE.

```
5
Lattice="4.7853 0.0000 0.0000 0.0000 4.7853 0.0000 0.0000 0.0000 6.8103" Properties=species:S:1:pos:R:3 pbc="T T T"
I 0.0000 0.0000 3.4052
Ir 2.3927 2.3927 3.4052
N 2.3927 0.0000 0.0000
K 0.0000 0.0000 0.0000
N 0.0000 2.3927 0.0000
```

Summary:
Its distance to the lowest polymorph of the same formula is 2008 meV/atom. Its raw formation energy is 13.75 eV/f.u. As for the space-group type: No. 123.

***

(5)
Crystalline K2NaIrI at its relaxed geometry. Source: Alexandria, functional PBE.

```
5
Lattice="6.4818 0.0000 0.0000 0.0000 5.0267 0.0000 0.0000 0.0000 6.4818" Properties=species:S:1:pos:R:3 pbc="T T T"
I 3.2409 2.5134 3.2409
Na 0.0000 0.0000 0.0000
Ir 0.0000 2.5134 0.0000
K 3.2409 0.0000 0.0000
K 0.0000 0.0000 3.2409
```

Summary:
Its distance to the lowest polymorph of the same formula is 0 meV/atom. Its raw formation energy is 2.02 eV/f.u. As for the space-group type: No. 123.

***

(6)
Crystalline K2NaIrI at its relaxed geometry. Source: Alexandria, functional PBE.

```
5
Lattice="-6.3482 1.0136 1.6207 -1.1401 -5.1366 -1.2531 1.3043 -1.8123 6.2424" Properties=species:S:1:pos:R:3 pbc="T T T"
I -0.5700 -2.5683 -0.6265
K -3.1741 0.5068 0.8103
K 0.6521 -0.9061 3.1212
Ir -3.0920 -2.9677 3.3050
Na 0.0000 0.0000 0.0000
```

Summary:
Its distance to the lowest polymorph of the same formula is 303 meV/atom. Its raw formation energy is 3.54 eV/f.u. As for the space-group type: No. 123.

***

E (computed, eV for the cell shown): -21.88 -31.07 -24.45 -14.41 -11.90 -10.39